Entry 1:
The following is a DFT calculation (GGA-PBE) of an optimized crystal structure of SbS2Cl.

As for the crystal system: orthorhombic. The total moment is 0.000 μB per formula unit. The calculation puts the distance to the lowest polymorph of the same formula at 0 kJ/mol of formula units. The theoretical density is 3.55 g/cm3. As for the volume: 25.9 Å³ per atom. Its space-group type is No. 63.

Lattice parameters (Å, degrees): 3.986 10.520 9.865 90.00 90.00 90.00
Element x y z (fractional)
Sb (0.000, 0.091, 0.250)
Sb (0.000, 0.909, 0.750)
Sb (0.500, 0.409, 0.750)
Sb (0.500, 0.591, 0.250)
S (0.000, 0.414, 0.549)
S (0.000, 0.414, 0.951)
S (0.000, 0.586, 0.049)
S (0.000, 0.586, 0.451)
S (0.500, 0.086, 0.049)
S (0.500, 0.086, 0.451)
S (0.500, 0.914, 0.549)
S (0.500, 0.914, 0.951)
Cl (0.000, 0.138, 0.750)
Cl (0.000, 0.862, 0.250)
Cl (0.500, 0.362, 0.250)
Cl (0.500, 0.638, 0.750)

=====

Entry 2:
The following is a DFT calculation (GGA-PBE) of an optimized crystal structure of NaHN2F.

As for the crystal system: tetragonal. The total moment is 0.349 μB per formula unit. The calculation puts the distance to the lowest polymorph of the same formula at 0 kJ/mol of formula units. The theoretical density is 2.20 g/cm3. As for the volume: 10.7 Å³ per atom. The value obtained for the density of states at the Fermi level is 2.40 states/eV per cell. Its space-group type is No. 123.

Lattice parameters (Å, degrees): 2.923 2.923 6.261 90.00 90.00 90.00
Element x y z (fractional)
Na (0.000, 0.000, 0.000)
H (0.500, 0.500, 0.500)
N (0.000, 0.500, 0.500)
N (0.500, 0.000, 0.500)
F (0.500, 0.500, 0.000)

=====

Entry 3:
The following is a DFT calculation (GGA-PBE) of an optimized crystal structure of AlRe2Ir.

As for the crystal system: tetragonal. The total moment is 0.000 μB per formula unit. The theoretical density is 16.99 g/cm3. As for the volume: 14.5 Å³ per atom. The value obtained for the density of states at the Fermi level is 2.79 states/eV per cell. The final energy comes out at -9.6522 eV/atom. Its space-group type is No. 99.

Lattice parameters (Å, degrees): 2.851 2.851 7.111 90.00 90.00 90.00
Element x y z (fractional)
Al (0.000, 0.000, 0.000)
Re (0.000, 0.000, 0.500)
Re (0.500, 0.500, 0.750)
Ir (0.500, 0.500, 0.229)

=====

Entry 4:
The following is a DFT calculation (GGA-PBE) of an optimized crystal structure of TcS2Cl.

As for the crystal system: trigonal. The total moment is 1.586 μB per formula unit. The calculation puts the distance to the lowest polymorph of the same formula at 0 kJ/mol of formula units. The theoretical density is 4.11 g/cm3. As for the volume: 19.9 Å³ per atom. The value obtained for the density of states at the Fermi level is 5.65 states/eV per cell. Its space-group type is No. 166.

Lattice parameters (Å, degrees): 3.538 3.538 22.068 90.00 90.00 120.00
Element x y z (fractional)
Tc (0.000, 0.000, 0.000)
Tc (0.333, 0.667, 0.667)
Tc (0.667, 0.333, 0.333)
S (0.000, 0.000, 0.392)
S (0.000, 0.000, 0.608)
S (0.333, 0.667, 0.059)
S (0.333, 0.667, 0.275)
S (0.667, 0.333, 0.725)
S (0.667, 0.333, 0.941)
Cl (0.000, 0.000, 0.500)
Cl (0.333, 0.667, 0.167)
Cl (0.667, 0.333, 0.833)

=====

Entry 5:
The following is a DFT calculation (GGA-PBE) of an optimized crystal structure of Sr2LiBr5.

As for the crystal system: monoclinic. The total moment is 0.000 μB per formula unit. The theoretical density is 3.46 g/cm3. As for the volume: 34.9 Å³ per atom. The value obtained for the density of states at the Fermi level is 0.00 states/eV per cell. The final energy comes out at -3.6510 eV/atom. Its space-group type is No. 14.

Lattice parameters (Å, degrees): 12.711 9.592 9.191 90.00 95.20 90.00
Element x y z (fractional)
Sr (0.033, 0.121, 0.253)
Sr (0.033, 0.379, 0.753)
Sr (0.364, 0.157, 0.964)
Sr (0.364, 0.343, 0.464)
Sr (0.636, 0.657, 0.536)
Sr (0.636, 0.843, 0.036)
Sr (0.967, 0.621, 0.247)
Sr (0.967, 0.879, 0.747)
Li (0.305, 0.606, 0.969)
Li (0.305, 0.894, 0.469)
Li (0.695, 0.106, 0.531)
Li (0.695, 0.394, 0.031)
Br (0.091, 0.652, 0.953)
Br (0.091, 0.848, 0.453)
Br (0.110, 0.101, 0.907)
Br (0.110, 0.399, 0.407)
Br (0.273, 0.085, 0.267)
Br (0.273, 0.415, 0.767)
Br (0.384, 0.072, 0.648)
Br (0.384, 0.428, 0.148)
Br (0.396, 0.663, 0.496)
Br (0.396, 0.837, 0.996)
Br (0.604, 0.163, 0.004)
Br (0.604, 0.337, 0.504)
Br (0.616, 0.572, 0.852)
Br (0.616, 0.928, 0.352)
Br (0.727, 0.585, 0.233)
Br (0.727, 0.915, 0.733)
Br (0.890, 0.601, 0.593)
Br (0.890, 0.899, 0.093)
Br (0.909, 0.152, 0.547)
Br (0.909, 0.348, 0.047)

=====

The highest theoretical density belongs to which entry?
AlRe2Ir

=====

Among the records above, which one has the highest total moment?
TcS2Cl